Compound: KV2SbBr
Source: Alexandria
Functional: PBE-GGA
Structure: relaxed

Output
Space group ... P4/mmm, No. 123
Magnetic moment ... 7.00 μB/f.u.
ΔE_f (raw) ... 0.42 eV/atom

Cell: 5.174 7.111 5.174 Å, 90.00 90.00 90.00°
Positions (direct):
Sb 0.000 0.000 0.000
K 0.000 0.500 0.000
Br 0.500 0.500 0.500
V 0.000 0.000 0.500
V 0.500 0.000 0.000